GGA-PBE RbZr2Zn, optimized geometry; spin magnetization = 0.00 μB per formula unit; formation energy = 3.9 eV per formula unit
1.0
-2.3082 2.3082 11.1714
2.3082 -2.3082 11.1714
2.3082 2.3082 -11.1714
Rb Zr Zn
2 4 2
Cartesian
0.0000 0.0000 0.0000
0.0000 2.3082 5.5857
1.1541 1.6870 -2.7929
2.9294 1.1541 2.7929
1.1541 0.6212 8.3786
-0.6212 1.1541 13.9643
2.3082 0.0000 5.5857
0.0000 0.0000 11.1714


GGA-PBE RbZrZn, optimized geometry; spin magnetization = 0.00 μB per formula unit; formation energy = 0.9 eV per formula unit
1.0
3.4004 0.0000 0.0000
1.7000 5.0242 0.0000
1.6658 1.7143 12.5534
Rb Zr Zn
2 2 2
Cartesian
0.0000 0.0000 0.0000
3.4067 4.2258 8.1901
3.4065 1.6568 5.2811
5.1024 3.9519 4.4396
1.7023 0.8861 3.0793
3.4033 2.8283 2.4489


GGA-PBE RbZrZn, optimized geometry; spin magnetization = 0.00 μB per formula unit; formation energy = 0.7 eV per formula unit
1.0
4.2072 0.0000 0.0000
0.2418 4.2039 0.0000
2.0686 0.0008 12.9147
Rb Zr Zn
2 2 2
Cartesian
0.0000 0.0000 0.0000
2.1784 2.1013 4.3936
2.1790 2.1104 9.3631
4.1620 0.0088 9.3397
2.0582 0.0082 7.4273
4.2825 2.1111 7.4284


GGA-PBE RbZr, optimized geometry; spin magnetization = 0.00 μB per formula unit; formation energy = 2.2 eV per formula unit
1.0
12.8228 0.0000 0.0000
-6.4114 11.1049 0.0000
0.0000 0.0000 3.1934
Rb Zr
6 6
Cartesian
-3.6911 9.0321 0.7984
0.4349 3.3922 0.7984
3.1552 1.3195 2.3951
3.2562 9.7854 0.7984
5.9765 7.7127 2.3951
10.1025 2.0727 2.3951
-2.0493 6.0506 0.7984
-0.1468 9.8544 0.7984
2.1961 6.3048 0.7984
4.2153 4.8001 2.3951
6.5582 1.2505 2.3951
8.4607 5.0543 2.3951


GGA-PBE RbZr, optimized geometry; spin magnetization = 0.00 μB per formula unit; formation energy = 2.3 eV per formula unit
1.0
6.6229 -2.3035 0.0000
6.6229 2.3035 0.0000
-3.3609 0.0000 6.0132
Rb Zr
2 2
Cartesian
0.0704 0.0000 2.0893
9.8145 0.0000 3.9239
3.8711 0.0000 0.1733
6.0138 0.0000 5.8399


GGA-PBE Rb3Zr, optimized geometry; spin magnetization = 3.94 μB per formula unit; formation energy = 4.1 eV per formula unit
1.0
-3.3946 3.3946 5.0518
3.3946 -3.3946 5.0518
3.3946 3.3946 -5.0518
Rb Zr
3 1
Cartesian
0.0000 0.0000 0.0000
3.3946 0.0000 2.5259
0.0000 3.3946 2.5259
0.0000 0.0000 5.0518


GGA-PBE RbZr, optimized geometry; spin magnetization = 3.31 μB per formula unit; formation energy = 4.5 eV per formula unit
1.0
0.0000 3.7522 3.7522
3.7522 0.0000 3.7522
3.7522 3.7522 0.0000
Rb Zr
1 1
Cartesian
0.0000 0.0000 0.0000
3.7522 3.7522 3.7522


GGA-PBE RbZr, optimized geometry; spin magnetization = 3.00 μB per formula unit; formation energy = 5.2 eV per formula unit
1.0
11.4207 0.0000 0.0000
0.0000 11.4207 0.0000
0.0000 0.0000 11.4207
Rb Zr
6 6
Cartesian
0.0000 2.8552 5.7104
0.0000 8.5655 5.7104
2.8552 5.7104 0.0000
5.7104 0.0000 2.8552
5.7104 0.0000 8.5655
8.5655 5.7104 0.0000
0.0000 5.7104 2.8552
0.0000 5.7104 8.5655
2.8552 0.0000 5.7104
5.7104 2.8552 0.0000
5.7104 8.5655 0.0000
8.5655 0.0000 5.7104


GGA-PBE RbZr, optimized geometry; spin magnetization = 0.35 μB per formula unit; formation energy = 1.2 eV per formula unit
1.0
3.4417 0.0000 0.0000
0.0000 3.4423 0.0000
-0.0485 0.0000 13.3091
Rb Zr
2 2
Cartesian
0.8359 0.8606 2.2766
2.5573 2.5817 11.0325
0.8362 0.8606 7.6029
2.5571 2.5817 5.7061


GGA-PBE Rb3Zr, optimized geometry; spin magnetization = 3.56 μB per formula unit; formation energy = 4.1 eV per formula unit
1.0
6.2036 0.0000 0.0000
0.0000 6.2036 0.0000
0.0000 0.0000 6.2036
Rb Zr
3 1
Cartesian
0.0000 0.0000 3.1018
0.0000 3.1018 0.0000
3.1018 0.0000 0.0000
3.1018 3.1018 3.1018


GGA-PBE RbZr, optimized geometry; spin magnetization = 3.07 μB per formula unit; formation energy = 5.3 eV per formula unit
1.0
0.0000 4.3230 4.3230
4.3230 0.0000 4.3230
4.3230 4.3230 0.0000
Rb Zr
1 1
Cartesian
0.0000 0.0000 0.0000
6.4845 6.4845 6.4845


GGA-PBE RbZr, optimized geometry; spin magnetization = 0.40 μB per formula unit; formation energy = 2.2 eV per formula unit
1.0
3.2814 0.0000 0.0000
0.0000 7.0509 0.0000
-1.6264 0.0000 2.8635
Rb Zr
1 1
Cartesian
0.0000 0.0000 0.0000
0.1874 3.5255 0.7812


GGA-PBE RbZr, optimized geometry; spin magnetization = 0.00 μB per formula unit; formation energy = 2.1 eV per formula unit
1.0
-8.4419 8.4419 1.5968
8.4419 -8.4419 1.5968
8.4419 8.4419 -1.5968
Rb Zr
4 4
Cartesian
3.4682 0.6595 0.0000
7.7824 -4.9737 1.5968
0.6595 13.4155 0.0000
4.9737 7.7824 1.5968
12.4361 3.0948 0.0000
3.0948 4.4476 0.0000
5.3470 3.9942 1.5968
-3.9942 5.3470 1.5968


GGA-PBE RbZr, optimized geometry; spin magnetization = 0.37 μB per formula unit; formation energy = 2.9 eV per formula unit
1.0
0.0000 5.5019 6.4409
4.8555 0.0000 6.4409
4.8555 5.5019 0.0000
Rb Zr
4 4
Cartesian
3.6416 0.4519 4.8306
6.0694 3.2028 8.0511
3.6416 7.8010 4.8306
6.0694 10.5519 8.0511
4.8344 4.1264 4.8306
2.4489 4.1264 4.8306
7.2621 6.8774 8.0511
4.8766 6.8774 8.0511


GGA-PBE RbZr, optimized geometry; spin magnetization = 0.97 μB per formula unit; formation energy = 2.4 eV per formula unit
1.0
-5.6795 5.6795 5.6795
5.6795 -5.6795 5.6795
5.6795 5.6795 -5.6795
Rb Zr
4 4
Cartesian
3.2691 3.2691 -3.2691
3.2691 -3.2691 3.2691
2.4104 2.4104 2.4104
-3.2691 3.2691 3.2691
0.9802 0.9802 -0.9802
0.9802 -0.9802 0.9802
-0.9802 0.9802 0.9802
4.6993 4.6993 4.6993


GGA-PBE RbZr, optimized geometry; spin magnetization = 0.00 μB per formula unit; formation energy = 2.1 eV per formula unit
1.0
6.6692 0.0000 0.0000
0.0000 7.5446 0.0000
0.0000 0.0000 13.7879
Rb Zr
8 8
Cartesian
0.0000 0.0000 0.0000
0.0000 3.7723 0.0000
0.0380 1.8862 4.3101
3.2966 5.6585 11.2040
3.3346 0.0000 6.8940
3.3346 3.7723 6.8940
3.3726 1.8862 2.5839
6.6312 5.6585 9.4778
0.0120 5.6585 5.5808
1.6374 5.6585 3.4135
1.6972 1.8862 10.3074
3.3226 1.8862 12.4747
3.3466 5.6585 1.3132
4.9720 5.6585 3.4805
5.0318 1.8862 10.3744
6.6572 1.8862 8.2071


GGA-PBE RbZr, optimized geometry; spin magnetization = 1.18 μB per formula unit; formation energy = 3.3 eV per formula unit
1.0
7.4672 0.0000 0.0000
0.0000 7.4672 0.0000
0.0000 0.0000 7.5721
Rb Zr
4 4
Cartesian
1.2218 1.2218 0.0000
2.5118 4.9554 3.7860
4.9554 2.5118 3.7860
6.2454 6.2454 0.0000
0.8538 0.8538 3.7860
2.8798 4.5874 0.0000
4.5874 2.8798 0.0000
6.6134 6.6134 3.7860


GGA-PBE RbZr, optimized geometry; spin magnetization = 0.00 μB per formula unit; formation energy = 1.4 eV per formula unit
1.0
3.5454 0.0000 0.0000
-0.0122 4.5370 0.0000
-0.0788 -0.0170 11.4502
Rb Zr
2 2
Cartesian
0.0000 0.0000 0.0000
1.6109 2.2365 4.4953
1.6232 4.5139 7.8879
3.4002 2.2457 8.0580


GGA-PBE RbZr, optimized geometry; spin magnetization = 0.39 μB per formula unit; formation energy = 2.2 eV per formula unit
1.0
3.2972 0.0000 0.0000
-1.6486 2.8555 0.0000
0.0000 0.0000 14.0855
Rb Zr
2 2
Cartesian
0.0000 1.9036 0.0000
1.6486 0.9518 7.0428
0.0000 1.9036 3.5087
1.6486 0.9518 10.5514


GGA-PBE RbZr, optimized geometry; spin magnetization = 0.00 μB per formula unit; formation energy = 1.9 eV per formula unit
1.0
13.9167 0.0000 0.0000
0.0000 13.9167 0.0000
0.0000 0.0000 3.1946
Rb Zr
8 8
Cartesian
0.0000 3.4341 0.0000
0.0000 10.4826 0.0000
3.4341 0.0000 0.0000
3.6497 3.6497 1.5973
3.6497 10.2669 1.5973
10.2669 3.6497 1.5973
10.2669 10.2669 1.5973
10.4826 0.0000 0.0000
1.8806 6.9583 0.0000
4.4514 6.9583 1.5973
6.9583 1.8806 0.0000
6.9583 4.4514 1.5973
6.9583 9.4652 1.5973
6.9583 12.0361 0.0000
9.4652 6.9583 1.5973
12.0361 6.9583 0.0000


GGA-PBE RbZr, optimized geometry; spin magnetization = 0.38 μB per formula unit; formation energy = 1.5 eV per formula unit
1.0
17.1205 0.0000 0.0000
0.0000 3.3359 0.0000
0.0000 0.0000 9.5437
Rb Zr
6 6
Cartesian
0.0000 0.0654 0.0000
3.7505 0.0132 6.4353
4.8097 3.3227 1.6635
8.5602 3.2705 4.7719
12.3108 3.3227 1.6635
13.3699 0.0132 6.4353
0.0000 0.0529 5.5327
1.4185 1.7193 3.5255
7.1417 1.6166 8.2974
8.5602 3.2830 0.7608
9.9787 1.6166 8.2974
15.7020 1.7193 3.5255


GGA-PBE RbZr, optimized geometry; spin magnetization = 0.40 μB per formula unit; formation energy = 2.2 eV per formula unit
1.0
3.2953 0.0000 0.0000
-1.6471 2.8580 0.0000
-0.0126 -1.8273 7.0424
Rb Zr
1 1
Cartesian
0.0000 0.0000 0.0000
1.6187 1.0258 3.5319


GGA-PBE Re, optimized geometry; spin magnetization = 0.00 μB per formula unit; formation energy = 1.4 eV per formula unit
1.0
2.5798 0.0000 0.0000
0.0000 2.5798 0.0000
0.0000 0.0000 2.5798
Re
1
Cartesian
0.0000 0.0000 0.0000